Density functional theory data (PBE-GGA) for CsTe2Pb2 after structural relaxation.

Lattice parameters (Å, degrees): 9.469 9.469 4.207 90.00 90.00 90.00
Sites, in units of the cell vectors:
Pb (0.385, 0.885, 0.000)
Pb (0.885, 0.615, 0.000)
Pb (0.615, 0.115, 0.000)
Pb (0.115, 0.385, 0.000)
Cs (0.000, 0.000, 0.000)
Cs (0.500, 0.500, 0.000)
Te (0.162, 0.662, 0.500)
Te (0.662, 0.838, 0.500)
Te (0.838, 0.338, 0.500)
Te (0.338, 0.162, 0.500)

Summary:
* D(E_F): 4.92 states/eV per cell
* total DFT energy (no corrections): -3.28 eV per atom
* symmetry: No. 127
* raw formation energy: -0.3734 eV/atom
* distance to the lowest polymorph of the same formula: 139.5 meV/atom

---

Density functional theory data (PBE-GGA) for LiTmAgAu after structural relaxation.

Lattice parameters (Å, degrees): 4.823 4.823 4.823 60.00 60.00 60.00
Sites, in units of the cell vectors:
Tm (0.000, 0.000, 0.000)
Au (0.750, 0.750, 0.750)
Ag (0.250, 0.250, 0.250)
Li (0.500, 0.500, 0.500)

Summary:
* D(E_F): 2.68 states/eV per cell
* total DFT energy (no corrections): -3.61 eV per atom
* E_form: -0.48 eV/atom
* symmetry: No. 216

---

- Which value of D(E_F) does entry 1 give?
  4.92 states/eV per cell

---

- Number 2 is which compound?
  LiTmAgAu